K2NdNiF8: relaxed, PBE with a Hubbard U.

a b c (Å): 4.334 7.217 6.104
angles (deg): 90.00 95.61 90.00
Fractional positions:
K 0.000 0.231 0.000
K 0.000 0.769 0.000
Nd 0.500 0.500 0.500
Ni 0.500 0.000 0.500
F 0.031 0.500 0.283
F 0.132 0.000 0.324
F 0.418 0.219 0.696
F 0.418 0.781 0.696
F 0.582 0.219 0.304
F 0.582 0.781 0.304
F 0.868 0.000 0.676
F 0.969 0.500 0.717

Values from the calculation:
As for the raw total energy: -4.858 eV per atom. The symmetry is No. 10.